(1)
Computed, not measured: a relaxed HoEr7Sc2 crystal at the PBE level of DFT.

Cell: 8.701 8.701 5.501 Å, 90.00 90.00 120.10°
Fractional coordinates of all 10 atoms:
Ho 0.000 0.000 0.000
Er 0.061 0.300 0.500
Er 0.236 0.764 0.000
Er 0.300 0.061 0.500
Er 0.500 0.500 0.500
Er 0.700 0.939 0.500
Er 0.764 0.236 0.000
Er 0.939 0.700 0.500
Sc 0.294 0.706 0.500
Sc 0.706 0.294 0.500

Output
* DFT total energy: -4.244 eV/atom
* energy above the most stable polymorph in this dataset: 630 meV per atom
* energy relative to the elements: 0.67 eV per atom


(2)
Computed, not measured: a relaxed Ho3Er6Sc crystal at the PBE level of DFT.

Cell: 6.765 6.765 6.765 Å, 90.77 90.77 90.77°
Fractional coordinates of all 10 atoms:
Ho 0.000 0.000 0.000
Ho 0.247 0.247 0.247
Ho 0.507 0.507 0.507
Er 0.011 0.356 0.675
Er 0.169 0.850 0.525
Er 0.356 0.675 0.011
Er 0.525 0.169 0.850
Er 0.675 0.011 0.356
Er 0.850 0.525 0.169
Sc 0.750 0.750 0.750

Output
* DFT total energy: -4.490 eV/atom
* energy relative to the elements: 0.25 eV per atom